(1)
Density functional theory data (PBE) for LiSm2As4Ir3 after structural relaxation.

- E_form (meV per atom) = -776
- theoretical density (g/cm3) = 10.534
- DFT total energy (Ry per atom) = -0.4725
- space group = P-4m2

POSCAR file:
```
LiSm2As4Ir3
1.0
-0.845 0.701 4.169
3.679 -1.973 1.078
4.853 8.777 -0.493
Sm As Ir Li
2 4 3 1
Direct
0.500 0.000 0.249 Sm
0.000 0.500 0.751 Sm
0.500 0.000 0.635 As
0.000 0.000 0.000 As
0.500 0.500 0.000 As
0.000 0.500 0.365 As
0.000 0.000 0.500 Ir
0.000 0.500 0.120 Ir
0.500 0.000 0.880 Ir
0.500 0.500 0.500 Li
```



(2)
Density functional theory data (PBE) for Sr2LiAs4Ir3 after structural relaxation.

- E_form (meV per atom) = -642
- theoretical density (g/cm3) = 8.982
- DFT total energy (Ry per atom) = -0.4180
- space group = P-4m2

POSCAR file:
```
Sr2LiAs4Ir3
1.0
-2.189 3.025 -2.399
1.624 -1.780 -3.727
-7.840 -6.081 -0.512
As Li Sr Ir
4 1 2 3
Direct
0.500 0.500 0.000 As
0.000 0.500 0.369 As
0.500 0.000 0.631 As
0.000 0.000 0.000 As
0.500 0.500 0.500 Li
0.000 0.500 0.751 Sr
0.500 0.000 0.249 Sr
0.500 0.000 0.884 Ir
0.000 0.500 0.116 Ir
0.000 0.000 0.500 Ir
```



(3)
Density functional theory data (PBE) for Sr2LiAs2Ir after structural relaxation.

- E_form (meV per atom) = -725
- theoretical density (g/cm3) = 6.214
- DFT total energy (Ry per atom) = -0.3404
- space group = Ibam

POSCAR file:
```
Sr2LiAs2Ir
1.0
-0.555 4.962 3.581
-5.404 1.003 -2.227
-0.111 -7.328 4.864
Sr As Li Ir
4 4 2 2
Direct
0.092 0.339 0.677 Sr
0.415 0.161 0.323 Sr
0.908 0.661 0.323 Sr
0.585 0.839 0.677 Sr
0.359 0.598 0.196 As
0.163 0.902 0.804 As
0.641 0.402 0.804 As
0.837 0.098 0.196 As
0.000 0.250 0.000 Li
0.000 0.750 0.000 Li
0.500 0.250 0.000 Ir
0.500 0.750 0.000 Ir
```



(4)
Density functional theory data (PBE) for LiTh2As3Ir4 after structural relaxation.

- E_form (meV per atom) = -775
- theoretical density (g/cm3) = 13.274
- DFT total energy (Ry per atom) = -0.5431
- space group = P-4m2

POSCAR file:
```
LiTh2As3Ir4
1.0
4.087 0.000 0.000
0.000 4.087 0.000
0.000 0.000 10.967
As Ir Th Li
3 4 2 1
Direct
0.000 0.000 0.500 As
0.000 0.500 0.133 As
0.500 0.000 0.867 As
0.000 0.000 0.000 Ir
0.500 0.500 0.000 Ir
0.000 0.500 0.353 Ir
0.500 0.000 0.647 Ir
0.000 0.500 0.751 Th
0.500 0.000 0.249 Th
0.500 0.500 0.500 Li
```



(5)
Density functional theory data (PBE) for LiAs2IrW after structural relaxation.

- E_form (meV per atom) = 1055
- theoretical density (g/cm3) = 11.380
- DFT total energy (Ry per atom) = -0.4080
- space group = P4/mmm

POSCAR file:
```
LiAs2IrW
1.0
-3.183 -0.013 -3.058
-2.524 -1.619 2.633
-1.249 4.035 1.283
As Ir Li W
2 1 1 1
Direct
0.000 0.000 0.500 As
0.500 0.000 0.000 As
0.000 0.500 0.000 Ir
0.000 0.000 0.000 Li
0.500 0.500 0.500 W
```



(6)
Density functional theory data (PBE) for LiZnAsIr after structural relaxation.

- E_form (meV per atom) = -290
- theoretical density (g/cm3) = 9.815
- DFT total energy (Ry per atom) = -0.3281
- space group = F-43m

POSCAR file:
```
LiZnAsIr
1.0
4.331 0.000 0.000
2.165 3.751 0.000
2.165 1.250 3.536
Li Ir As Zn
1 1 1 1
Direct
0.250 0.250 0.250 Li
0.750 0.750 0.750 Ir
0.500 0.500 0.500 As
0.000 0.000 0.000 Zn
```



(7)
Density functional theory data (PBE) for LiZrAsIr2 after structural relaxation.

- E_form (meV per atom) = 205
- theoretical density (g/cm3) = 10.144
- DFT total energy (Ry per atom) = -0.4676
- space group = P4/mmm

POSCAR file:
```
LiZrAsIr2
1.0
4.645 0.000 0.000
0.000 4.231 0.000
0.000 0.000 4.645
Zr Ir As Li
1 2 1 1
Direct
0.500 0.500 0.500 Zr
0.500 0.000 0.000 Ir
0.000 0.000 0.500 Ir
0.000 0.000 0.000 As
0.000 0.500 0.000 Li
```



(8)
Density functional theory data (PBE) for LiZr2AsIr after structural relaxation.

- E_form (meV per atom) = 53
- theoretical density (g/cm3) = 7.423
- DFT total energy (Ry per atom) = -0.4741
- space group = P4/mmm

POSCAR file:
```
LiZr2AsIr
1.0
5.012 0.000 0.000
0.000 4.066 0.000
0.000 0.000 5.012
Li Ir As Zr
1 1 1 2
Direct
0.000 0.500 0.000 Li
0.500 0.500 0.500 Ir
0.000 0.000 0.000 As
0.000 0.000 0.500 Zr
0.500 0.000 0.000 Zr
```



What total moment values result from the calculations? In sequence: 0.00, 0.00, 0.00, 0.00, 0.00, 0.00, 0.00, 0.00 Bohr magnetons per cell.